This record from Alexandria describes an optimized crystal structure of Ho2B2MoRu5. The functional is PBE.

Structure (POSCAR):
```
Ho2B2MoRu5
1.0
9.6289 0.0000 0.0000
0.0000 9.6289 0.0000
0.0000 0.0000 3.0995
Ho B Mo Ru
4 4 2 10
Direct
0.1755 0.3245 0.0000
0.3245 0.8245 0.0000
0.6755 0.1755 0.0000
0.8245 0.6755 0.0000
0.1199 0.6199 0.0000
0.3801 0.1199 0.0000
0.6199 0.8801 0.0000
0.8801 0.3801 0.0000
0.0000 0.0000 0.0000
0.5000 0.5000 0.0000
0.0000 0.5000 0.5000
0.0695 0.7842 0.5000
0.2158 0.0695 0.5000
0.2842 0.5695 0.5000
0.4305 0.2842 0.5000
0.5000 0.0000 0.5000
0.5695 0.7158 0.5000
0.7158 0.4305 0.5000
0.7842 0.9305 0.5000
0.9305 0.2158 0.5000
```

Total DFT energy (no corrections): -84.0 eV/f.u.